# 1
The following is a PBE-GGA calculation of crystalline BaTl5I7 at its relaxed geometry, from Alexandria via LeMat-Bulk.

Calculated values
Symmetry   P2_1 (4)
Raw total energy   -0.10317 hartree per atom

a = 4.8709 Å, b = 8.7288 Å, c = 29.4872 Å
α = 90.01°, β = 90.00°, γ = 106.20°
Positions (direct):
Ba: 0.2074 0.4150 0.7616
Ba: 0.7933 0.5860 0.2615
I: 0.3488 0.6961 0.5393
I: 0.8841 0.7679 0.3755
I: 0.6208 0.2409 0.4628
I: 0.2114 0.4235 0.1833
I: 0.7894 0.5780 0.6834
I: 0.1780 0.3552 0.3212
I: 0.6516 0.3053 0.0394
I: 0.3797 0.7602 0.9629
I: 0.1163 0.2326 0.8757
I: 0.4415 0.8818 0.2477
I: 0.0676 0.1321 0.6048
I: 0.9330 0.8694 0.1049
I: 0.5594 0.1191 0.7479
I: 0.8225 0.6452 0.8214
Tl: 0.0187 0.0377 0.9994
Tl: 0.4732 0.9452 0.8533
Tl: 0.7402 0.4819 0.9289
Tl: 0.5581 0.1205 0.1476
Tl: 0.5272 0.0554 0.3531
Tl: 0.9817 0.9637 0.4993
Tl: 0.2922 0.5887 0.0743
Tl: 0.7085 0.4133 0.5743
Tl: 0.4428 0.8812 0.6476
Tl: 0.2601 0.5186 0.4288


# 2
The following is a PBE-GGA calculation of crystalline CePmTc4Ge6 at its relaxed geometry, from Alexandria via LeMat-Bulk.

Calculated values
Symmetry   P6/mmm (191)
Formation energy from the elements   11.7 kJ per mole of atoms

a = 5.1422 Å, b = 5.1422 Å, c = 10.5678 Å
α = 90.00°, β = 90.00°, γ = 120.00°
Positions (direct):
Ge: 0.5000 0.5000 0.6740
Ge: 0.0000 0.5000 0.6740
Ge: 0.5000 0.0000 0.6740
Ge: 0.5000 0.5000 0.3260
Ge: 0.5000 0.0000 0.3260
Ge: 0.0000 0.5000 0.3260
Pm: 0.0000 0.0000 0.0000
Tc: 0.6667 0.3333 0.1108
Tc: 0.3333 0.6667 0.8892
Tc: 0.3333 0.6667 0.1108
Tc: 0.6667 0.3333 0.8892
Ce: 0.0000 0.0000 0.5000


# 3
The following is a PBE-GGA calculation of crystalline ScTl2Ga at its relaxed geometry, from Alexandria via LeMat-Bulk.

Calculated values
Energy above the most stable polymorph in this dataset   172 meV per atom
Symmetry   I-42d (122)
Formation energy from the elements   1.9 kJ per mole of atoms

a = 8.0308 Å, b = 8.0308 Å, c = 6.4553 Å
α = 51.54°, β = 51.54°, γ = 90.00°
Positions (direct):
Tl: 0.1009 0.6250 0.2500
Tl: 0.8750 0.8991 0.7500
Tl: 0.3750 0.3509 0.7500
Tl: 0.6491 0.1250 0.2500
Ga: 0.7500 0.2500 0.5000
Ga: 0.0000 0.0000 0.0000
Sc: 0.2500 0.7500 0.5000
Sc: 0.5000 0.5000 0.0000


# 4
The following is a PBE-GGA calculation of crystalline MgGaAgBi at its relaxed geometry, from Alexandria via LeMat-Bulk.

Calculated values
Symmetry   F-43m (216)
Formation energy from the elements   0.9 kJ per mole of atoms

a = 5.0778 Å, b = 5.0778 Å, c = 5.0778 Å
α = 60.00°, β = 60.00°, γ = 60.00°
Positions (direct):
Ga: 0.5000 0.5000 0.5000
Mg: 0.7500 0.7500 0.7500
Bi: 0.0000 0.0000 0.0000
Ag: 0.2500 0.2500 0.2500


# 5
The following is a PBE-GGA calculation of crystalline Ba2BePN at its relaxed geometry, from Alexandria via LeMat-Bulk.

Calculated values
Symmetry   P2_1/m (11)
Raw total energy   -0.18613 hartree per atom

a = 3.9977 Å, b = 6.9478 Å, c = 9.0490 Å
α = 108.82°, β = 90.00°, γ = 90.00°
Positions (direct):
Be: 0.2500 0.5543 0.7579
Be: 0.7500 0.4457 0.2421
Ba: 0.2500 0.2158 0.9581
Ba: 0.7500 0.7842 0.0419
Ba: 0.2500 0.1999 0.3915
Ba: 0.7500 0.8001 0.6085
P: 0.2500 0.6305 0.2917
P: 0.7500 0.3695 0.7083
N: 0.7500 0.2065 0.1771
N: 0.2500 0.7935 0.8229


# 6
The following is a PBE-GGA calculation of crystalline CeBe2Pd2Pt at its relaxed geometry, from Alexandria via LeMat-Bulk.

Calculated values
Symmetry   P4/mmm (123)
Formation energy from the elements   -50.9 kJ per mole of atoms

a = 4.2759 Å, b = 4.2759 Å, c = 5.5524 Å
α = 90.00°, β = 90.00°, γ = 90.00°
Positions (direct):
Pd: 0.5000 0.5000 0.2489
Pd: 0.5000 0.5000 0.7511
Be: 0.5000 0.0000 0.0000
Be: 0.0000 0.5000 0.0000
Pt: 0.0000 0.0000 0.0000
Ce: 0.0000 0.0000 0.5000


no.,density (Mg/m³)
1,5.65
2,7.64
3,8.78
4,7.37
5,4.59
6,9.26